1.
# VZnOs PBE relaxed
data_VZnOs
_space_group_name_H-M_alt 'P 3 m 1'
_space_group_IT_number 156
_space_group_name_Hall 'P 3 -2"'
_cell_length_a 4.2643
_cell_length_b 4.2643
_cell_length_c 2.6479
_cell_angle_alpha 90.00
_cell_angle_beta 90.00
_cell_angle_gamma 120.00
loop_
_atom_site_label
_atom_site_fract_x
_atom_site_fract_y
_atom_site_fract_z
_atom_site_occupancy
V1 0.0000 0.0000 0.0000 1
Zn1 0.3333 0.6667 0.6380 1
Os1 0.6667 0.3333 0.2605 1
# size of the total moment = 0.000 μB per atom
# energy above the lowest structure with this stoichiometry = 0.062 eV/atom

2.
# CaTaH PBE relaxed
data_CaTaH
_space_group_name_H-M_alt 'P 1 m 1'
_space_group_IT_number 6
_space_group_name_Hall 'P -2y'
_cell_length_a 3.131
_cell_length_b 5.008
_cell_length_c 6.793
_cell_angle_alpha 90.00
_cell_angle_beta 98.71
_cell_angle_gamma 90.00
loop_
_atom_site_label
_atom_site_fract_x
_atom_site_fract_y
_atom_site_fract_z
_atom_site_occupancy
Ca1 0.000 0.000 0.000 1
Ca2 0.265 0.500 0.704 1
Ta1 0.521 0.000 0.424 1
Ta2 0.733 0.500 0.260 1
H1 0.006 0.234 0.447 1
# size of the total moment = 0.000 μB per atom
# energy above the lowest structure with this stoichiometry = 0.270 eV/atom